one.
DFT (PBE) results for crystalline TeW3Se at its relaxed geometry.

Results
M_tot = 0.00 μB per atom
space-group type = Pm-3m (221)
calculated volume = 102.8 Å³/cell

Cell lengths 4.684, 4.684, 4.684 Å; angles 90.00, 90.00, 90.00 degrees
Sites, in units of the cell vectors:
Te (0.500, 0.500, 0.500)
Se (0.000, 0.000, 0.000)
W (0.000, 0.500, 0.000)
W (0.000, 0.000, 0.500)
W (0.500, 0.000, 0.000)



two.
DFT (PBE) results for crystalline TeW3Se at its relaxed geometry.

Results
M_tot = 0.00 μB per atom
space-group type = Pm-3m (221)
calculated volume = 118.6 Å³/cell

Cell lengths 4.913, 4.913, 4.913 Å; angles 90.00, 90.00, 90.00 degrees
Sites, in units of the cell vectors:
Te (0.000, 0.000, 0.000)
Se (0.500, 0.500, 0.500)
W (0.000, 0.500, 0.000)
W (0.000, 0.000, 0.500)
W (0.500, 0.000, 0.000)



Most stable to least stable, the ends of the list are one and two.



one.
DFT (PBE) results for crystalline Te3WSe at its relaxed geometry.

Results
M_tot = 0.65 μB per atom
space-group type = Pm-3m (221)
calculated volume = 153.8 Å³/cell

Cell lengths 5.357, 5.357, 5.357 Å; angles 90.00, 90.00, 90.00 degrees
Sites, in units of the cell vectors:
Te (0.000, 0.500, 0.000)
Te (0.000, 0.000, 0.500)
Te (0.500, 0.000, 0.000)
Se (0.000, 0.000, 0.000)
W (0.500, 0.500, 0.500)



two.
DFT (PBE) results for crystalline Te3WSe at its relaxed geometry.

Results
M_tot = 0.00 μB per atom
space-group type = Pm-3m (221)
calculated volume = 144.8 Å³/cell

Cell lengths 5.251, 5.251, 5.251 Å; angles 90.00, 90.00, 90.00 degrees
Sites, in units of the cell vectors:
Te (0.000, 0.500, 0.000)
Te (0.000, 0.000, 0.500)
Te (0.500, 0.000, 0.000)
Se (0.500, 0.500, 0.500)
W (0.000, 0.000, 0.000)



Most stable to least stable, the ends of the list are two and one.



one.
DFT (PBE) results for crystalline Y2Te2Se at its relaxed geometry.

Results
M_tot = 0.00 μB per atom
space-group type = Pnma (62)
calculated volume = 670.1 Å³/cell

Cell lengths 6.225, 8.578, 12.549 Å; angles 90.00, 90.00, 90.00 degrees
Sites, in units of the cell vectors:
Y (0.750, 0.418, 0.760)
Y (0.250, 0.082, 0.260)
Y (0.250, 0.582, 0.240)
Y (0.750, 0.918, 0.740)
Y (0.750, 0.846, 0.077)
Y (0.250, 0.654, 0.577)
Y (0.250, 0.154, 0.923)
Y (0.750, 0.346, 0.423)
Te (0.750, 0.649, 0.569)
Te (0.250, 0.851, 0.069)
Te (0.250, 0.351, 0.431)
Te (0.750, 0.149, 0.931)
Te (0.750, 0.070, 0.274)
Te (0.250, 0.430, 0.774)
Te (0.250, 0.930, 0.726)
Te (0.750, 0.570, 0.226)
Se (0.750, 0.182, 0.607)
Se (0.250, 0.318, 0.107)
Se (0.250, 0.818, 0.393)
Se (0.750, 0.682, 0.893)



two.
DFT (PBE) results for crystalline Y2Te2Se at its relaxed geometry.

Results
M_tot = 0.00 μB per atom
space-group type = C2/c (15)
calculated volume = 310.6 Å³/cell

Cell lengths 6.535, 7.821, 7.821 Å; angles 63.18, 65.22, 65.22 degrees
Sites, in units of the cell vectors:
Y (0.603, 0.654, 0.141)
Y (0.897, 0.859, 0.346)
Y (0.103, 0.141, 0.654)
Y (0.397, 0.346, 0.859)
Te (0.353, 0.772, 0.522)
Te (0.647, 0.228, 0.478)
Te (0.147, 0.478, 0.228)
Te (0.853, 0.522, 0.772)
Se (0.750, 0.000, 0.000)
Se (0.250, 0.000, 0.000)



Most stable to least stable, the ends of the list are two and one.



one.
DFT (PBE) results for crystalline Y3Te2Se at its relaxed geometry.

Results
M_tot = 0.00 μB per atom
space-group type = I4/mmm (139)
calculated volume = 334.2 Å³/cell

Cell lengths 5.995, 9.768, 9.768 Å; angles 144.25, 90.00, 90.00 degrees
Sites, in units of the cell vectors:
Y (0.993, 0.897, 0.604)
Y (0.493, 0.396, 0.103)
Y (0.993, 0.604, 0.897)
Y (0.493, 0.103, 0.396)
Y (0.493, 0.750, 0.750)
Y (0.993, 0.250, 0.250)
Te (0.493, 0.923, 0.576)
Te (0.993, 0.424, 0.077)
Te (0.493, 0.576, 0.923)
Te (0.993, 0.077, 0.424)
Se (0.993, 0.750, 0.750)
Se (0.493, 0.250, 0.250)



two.
DFT (PBE) results for crystalline Y3Te2Se at its relaxed geometry.

Results
M_tot = 0.00 μB per atom
space-group type = C2/m (12)
calculated volume = 332.2 Å³/cell

Cell lengths 7.389, 7.441, 7.392 Å; angles 80.49, 60.01, 70.69 degrees
Sites, in units of the cell vectors:
Y (0.570, 0.225, 0.354)
Y (0.716, 0.785, 0.000)
Y (0.430, 0.775, 0.646)
Y (0.077, 0.775, 0.354)
Y (0.923, 0.225, 0.646)
Y (0.284, 0.215, 0.000)
Te (0.000, 0.000, 0.000)
Te (0.500, 0.500, 0.000)
Te (0.842, 0.500, 0.316)
Te (0.158, 0.500, 0.684)
Se (0.331, 0.000, 0.339)
Se (0.669, 0.000, 0.661)



Most stable to least stable, the ends of the list are two and one.



one.
DFT (PBE) results for crystalline Y3TeSe2 at its relaxed geometry.

Results
M_tot = 0.00 μB per atom
space-group type = Imma (74)
calculated volume = 362.5 Å³/cell

Cell lengths 8.913, 7.981, 7.981 Å; angles 55.38, 56.06, 56.06 degrees
Sites, in units of the cell vectors:
Y (0.000, 0.726, 0.274)
Y (0.000, 0.274, 0.726)
Y (0.500, 0.774, 0.226)
Y (0.500, 0.000, 0.500)
Y (0.500, 0.500, 0.000)
Y (0.500, 0.226, 0.774)
Te (0.201, 0.250, 0.250)
Te (0.799, 0.750, 0.750)
Se (0.264, 0.955, 0.955)
Se (0.326, 0.455, 0.455)
Se (0.674, 0.545, 0.545)
Se (0.736, 0.045, 0.045)



two.
DFT (PBE) results for crystalline Y3TeSe2 at its relaxed geometry.

Results
M_tot = 0.00 μB per atom
space-group type = Immm (71)
calculated volume = 155.5 Å³/cell

Cell lengths 4.182, 5.921, 7.252 Å; angles 114.10, 106.76, 90.00 degrees
Sites, in units of the cell vectors:
Y (0.817, 0.317, 0.134)
Y (0.183, 0.683, 0.866)
Y (0.500, 0.000, 0.500)
Te (0.500, 0.500, 0.500)
Se (0.839, 0.839, 0.177)
Se (0.161, 0.161, 0.823)



Most stable to least stable, the ends of the list are two and one.



one.
DFT (PBE) results for crystalline Zn2TeSe at its relaxed geometry.

Results
M_tot = 0.00 μB per atom
space-group type = P4/mmm (123)
calculated volume = 84.1 Å³/cell

Cell lengths 3.417, 3.418, 7.203 Å; angles 90.00, 90.00, 90.00 degrees
Sites, in units of the cell vectors:
Se (0.500, 0.500, 0.250)
Te (0.500, 0.500, 0.750)
Zn (0.000, 0.000, 0.044)
Zn (0.000, 0.000, 0.456)



two.
DFT (PBE) results for crystalline Zn2TeSe at its relaxed geometry.

Results
M_tot = 0.00 μB per atom
space-group type = R3m (160)
calculated volume = 106.2 Å³/cell

Cell lengths 7.299, 7.299, 7.299 Å; angles 33.62, 33.62, 33.62 degrees
Sites, in units of the cell vectors:
Zn (0.995, 0.995, 0.995)
Zn (0.505, 0.505, 0.505)
Te (0.376, 0.376, 0.376)
Se (0.875, 0.875, 0.875)



three.
DFT (PBE) results for crystalline Zn2TeSe at its relaxed geometry.

Results
M_tot = 0.00 μB per atom
space-group type = Pmmm (47)
calculated volume = 116.2 Å³/cell

Cell lengths 3.761, 8.314, 3.717 Å; angles 90.00, 90.00, 90.00 degrees
Sites, in units of the cell vectors:
Se (0.500, 0.000, 0.500)
Te (0.000, 0.500, 0.500)
Zn (0.000, 0.000, 0.000)
Zn (0.500, 0.500, 0.000)



four.
DFT (PBE) results for crystalline Zn2TeSe at its relaxed geometry.

Results
M_tot = 0.00 μB per atom
space-group type = Cmmm (65)
calculated volume = 85.0 Å³/cell

Cell lengths 4.836, 4.836, 3.698 Å; angles 90.00, 90.00, 100.84 degrees
Sites, in units of the cell vectors:
Se (0.500, 0.000, 0.500)
Te (0.000, 0.500, 0.500)
Zn (0.000, 0.000, 0.000)
Zn (0.500, 0.500, 0.000)



Most stable to least stable, the ends of the list are two and four.



one.
DFT (PBE) results for crystalline Zn2TeSe at its relaxed geometry.

Results
M_tot = 0.00 μB per atom
space-group type = Immm (71)
calculated volume = 120.8 Å³/cell

Cell lengths 6.050, 6.050, 6.050 Å; angles 144.64, 87.67, 103.01 degrees
Sites, in units of the cell vectors:
Se (0.750, 0.250, 0.500)
Te (0.250, 0.750, 0.500)
Zn (0.979, 0.979, 0.000)
Zn (0.521, 0.521, 0.000)



two.
DFT (PBE) results for crystalline Zn2TeSe at its relaxed geometry.

Results
M_tot = 0.00 μB per atom
space-group type = Cm (8)
calculated volume = 211.6 Å³/cell

Cell lengths 4.220, 7.295, 7.295 Å; angles 80.26, 90.00, 73.18 degrees
Sites, in units of the cell vectors:
Zn (0.175, 0.343, 0.188)
Zn (0.921, 0.850, 0.411)
Zn (0.660, 0.375, 0.657)
Zn (0.413, 0.869, 0.937)
Te (0.606, 0.482, 0.990)
Te (0.852, 0.989, 0.729)
Se (0.357, 0.979, 0.242)
Se (0.104, 0.486, 0.480)



Most stable to least stable, the ends of the list are two and one.



one.
DFT (PBE) results for crystalline Zn2TeSe at its relaxed geometry.

Results
M_tot = 0.00 μB per atom
space-group type = I-42d (122)
calculated volume = 211.4 Å³/cell

Cell lengths 5.960, 5.960, 7.292 Å; angles 65.88, 65.88, 90.00 degrees
Sites, in units of the cell vectors:
Zn (0.602, 0.125, 0.250)
Zn (0.148, 0.625, 0.250)
Zn (0.375, 0.398, 0.750)
Zn (0.875, 0.852, 0.750)
Te (0.000, 0.000, 0.000)
Te (0.750, 0.250, 0.500)
Se (0.500, 0.500, 0.000)
Se (0.250, 0.750, 0.500)



two.
DFT (PBE) results for crystalline Zn2TeSe at its relaxed geometry.

Results
M_tot = 0.00 μB per atom
space-group type = Fm-3m (225)
calculated volume = 83.9 Å³/cell

Cell lengths 4.913, 4.913, 4.913 Å; angles 60.00, 60.00, 60.00 degrees
Sites, in units of the cell vectors:
Zn (0.250, 0.250, 0.250)
Zn (0.750, 0.750, 0.750)
Te (0.500, 0.500, 0.500)
Se (0.000, 0.000, 0.000)



three.
DFT (PBE) results for crystalline Zn2TeSe at its relaxed geometry.

Results
M_tot = 0.00 μB per atom
space-group type = Cm (8)
calculated volume = 106.2 Å³/cell

Cell lengths 4.212, 4.212, 6.917 Å; angles 89.99, 89.99, 59.97 degrees
Sites, in units of the cell vectors:
Se (0.459, 0.459, 0.187)
Te (0.791, 0.791, 0.690)
Zn (0.792, 0.792, 0.077)
Zn (0.458, 0.458, 0.546)



Most stable to least stable, the ends of the list are one and two.